[1]
VASP calculation (PBE) on a geometry-optimized RhWAu2 structure.

a b c (Å): 2.8744 4.2074 5.3904
angles (deg): 90.00 90.00 90.00
With the nearest neighbours (Å) after each atom.
Positions (direct):
1 Au 0.0000 0.0000 0.2520  4 Au 2.67-2.87, 4 W 2.88, 4 Rh 2.89
2 Au 0.0000 0.0000 0.7480  4 Au 2.67-2.87, 4 W 2.88, 4 Rh 2.89
3 Rh 0.5000 0.5000 0.0000  2 W 2.70, 2 Rh 2.87, 8 Au 2.89
4 W 0.5000 0.5000 0.5000  2 Rh 2.70, 2 W 2.87, 8 Au 2.88

Calculated values
* energy of formation: 0.29 eV/atom
* magnetization: 0.0000 μB/atom
* uncorrected energy: -6.43 eV per atom

[2]
VASP calculation (PBE) on a geometry-optimized Ba2PmCd structure.

a b c (Å): 4.0977 4.0977 10.0777
angles (deg): 90.00 90.00 90.00
With the nearest neighbours (Å) after each atom.
Positions (direct):
1 Ba 0.0000 0.0000 0.7816  4 Cd 3.64, 4 Pm 4.06
2 Ba 0.0000 0.0000 0.2184  4 Cd 3.64, 4 Pm 4.06
3 Cd 0.5000 0.5000 0.0000  8 Ba 3.64
4 Pm 0.5000 0.5000 0.5000  8 Ba 4.06, 4 Pm 4.10

Calculated values
* energy of formation: 0.01 eV/atom
* magnetization: 0.2726 μB/atom
* uncorrected energy: -2.37 eV per atom